No. 1
The following is a DFT calculation (PBE) of K3AsF7 after structural relaxation.

ρ = 2.9 Mg/m³
formation energy from raw total energies = -2629 kJ/mol of formula units
SG = P4/mbm
DOS at the Fermi energy = 0.17 states/eV per atom
raw total energy = -4.39 eV per atom
magnetic moment = 1.926 μB/cell

Lattice parameters (Å, degrees): 5.8069 8.0538 8.0538 90.00 90.00 90.00
Last column: nearest neighbours and their distance in Å.
Fractional positions:
K  0.5000  0.1907  0.6907  10 F 2.67-2.95
K  0.5000  0.6907  0.8093  10 F 2.67-2.95
K  0.5000  0.3093  0.1907  10 F 2.67-2.95
K  0.5000  0.8093  0.3093  10 F 2.67-2.95
K  0.0000  0.5000  0.5000  6 F 2.90-3.00
K  0.0000  0.0000  0.0000  6 F 2.90-3.00
As  0.0000  0.0000  0.5000  6 F 1.92
As  0.0000  0.5000  0.0000  6 F 1.92
F  0.7599  0.3844  0.8844  1 As 1.92
F  0.7599  0.6156  0.1156  1 As 1.92
F  0.7599  0.1156  0.3844  1 As 1.92
F  0.7599  0.8844  0.6156  1 As 1.92
F  0.2401  0.3844  0.8844  1 As 1.92
F  0.2401  0.8844  0.6156  1 As 1.92
F  0.2401  0.1156  0.3844  1 As 1.92
F  0.2401  0.6156  0.1156  1 As 1.92
F  0.5000  0.0000  0.0000  6 K 2.90-2.93
F  0.5000  0.5000  0.5000  6 K 2.90-2.93
F  0.0000  0.8317  0.3317  1 As 1.92
F  0.0000  0.3317  0.1683  1 As 1.92
F  0.0000  0.6683  0.8317  1 As 1.92
F  0.0000  0.1683  0.6683  1 As 1.92


No. 2
The following is a DFT calculation (PBE) of KLiAsF6 after structural relaxation.

ρ = 2.7 Mg/m³
formation energy from raw total energies = -2122 kJ/mol of formula units
SG = P312
DOS at the Fermi energy = 0.35 states/eV per atom
raw total energy = -4.54 eV per atom
magnetic moment = 0.977 μB/cell

Lattice parameters (Å, degrees): 5.3380 5.3381 5.7716 90.00 90.00 60.00
Last column: nearest neighbours and their distance in Å.
Fractional positions:
K  0.0000  0.0000  0.0000  6 F 2.69
Li  0.6666  0.6667  0.5000  6 F 2.08
As  0.3333  0.3333  0.5000  6 F 1.93
F  0.0215  0.3656  0.3104  1 As 1.93, 1 Li 2.08
F  0.3655  0.0215  0.6896  1 As 1.93, 1 Li 2.08
F  0.6129  0.3656  0.6896  1 As 1.93, 1 Li 2.08
F  0.0214  0.6130  0.6896  1 As 1.93, 1 Li 2.08
F  0.3656  0.6130  0.3104  1 As 1.93, 1 Li 2.08
F  0.6130  0.0214  0.3104  1 As 1.93, 1 Li 2.08


No. 3
The following is a DFT calculation (PBE) of KMgAs2F after structural relaxation.

ρ = 1.7 Mg/m³
formation energy from raw total energies = 500 kJ/mol of formula units
SG = P4/mmm
DOS at the Fermi energy = 1.28 states/eV per atom
raw total energy = -1.74 eV per atom
magnetic moment = 3.657 μB/cell

Lattice parameters (Å, degrees): 5.8136 6.8660 5.8136 90.00 90.00 90.00
Last column: nearest neighbours and their distance in Å.
Fractional positions:
Mg  0.0000  0.5000  0.0000  2 K 3.43
As  0.0000  0.0000  0.5000  2 K 2.91
As  0.5000  0.0000  0.0000  2 K 2.91
K  0.0000  0.0000  0.0000  4 As 2.91
F  0.5000  0.5000  0.5000  4 Mg 4.11, 8 As 4.50


No. 4
The following is a DFT calculation (PBE) of KMgAs3F18 after structural relaxation.

ρ = 2.9 Mg/m³
formation energy from raw total energies = -5333 kJ/mol of formula units
SG = Pnma
DOS at the Fermi energy = 0.00 states/eV per atom
raw total energy = -4.59 eV per atom
magnetic moment = 0.002 μB/cell

Lattice parameters (Å, degrees): 9.6643 10.5195 14.1700 90.00 90.00 90.00
Last column: nearest neighbours and their distance in Å.
Fractional positions:
K  0.5286  0.9260  0.7500  6 F 2.70-2.81
K  0.9714  0.4260  0.7500  6 F 2.70-2.81
K  0.4714  0.0740  0.2500  6 F 2.70-2.81
K  0.0286  0.5740  0.2500  6 F 2.70-2.81
Mg  0.0000  0.0000  0.5000  6 F 2.00-2.01
Mg  0.5000  0.5000  0.0000  6 F 2.00-2.01
Mg  0.0000  0.0000  0.0000  6 F 2.00-2.01
Mg  0.5000  0.5000  0.5000  6 F 2.00-2.01
As  0.1014  0.0209  0.7500  6 F 1.74-1.82
As  0.3986  0.5209  0.7500  6 F 1.74-1.82
As  0.8986  0.9791  0.2500  6 F 1.74-1.82
As  0.6014  0.4791  0.2500  6 F 1.74-1.82
As  0.6975  0.2060  0.5476  6 F 1.74-1.83
As  0.8025  0.7060  0.9524  6 F 1.74-1.83
As  0.3025  0.7940  0.0476  6 F 1.74-1.83
As  0.1975  0.2940  0.4524  6 F 1.74-1.83
As  0.3025  0.7940  0.4524  6 F 1.74-1.83
As  0.1975  0.2940  0.0476  6 F 1.74-1.83
As  0.6975  0.2060  0.9524  6 F 1.74-1.83
As  0.8025  0.7060  0.5476  6 F 1.74-1.83
F  0.1024  0.0239  0.6214  1 As 1.82, 1 Mg 2.00
F  0.3976  0.5239  0.8786  1 As 1.82, 1 Mg 2.00
F  0.8976  0.9761  0.1214  1 As 1.82, 1 Mg 2.00
F  0.6024  0.4761  0.3786  1 As 1.82, 1 Mg 2.00
F  0.8976  0.9761  0.3786  1 As 1.82, 1 Mg 2.00
F  0.6024  0.4761  0.1214  1 As 1.82, 1 Mg 2.00
F  0.1024  0.0239  0.8786  1 As 1.82, 1 Mg 2.00
F  0.3976  0.5239  0.6214  1 As 1.82, 1 Mg 2.00
F  0.1357  0.8585  0.7500  1 As 1.74
F  0.3643  0.3585  0.7500  1 As 1.74
F  0.8643  0.1415  0.2500  1 As 1.74
F  0.6357  0.6415  0.2500  1 As 1.74
F  0.2799  0.0522  0.7500  1 As 1.76
F  0.2201  0.5522  0.7500  1 As 1.76
F  0.7201  0.9478  0.2500  1 As 1.76
F  0.7799  0.4478  0.2500  1 As 1.76
F  0.0699  0.1857  0.7500  1 As 1.76
F  0.4301  0.6857  0.7500  1 As 1.76
F  0.9301  0.8143  0.2500  1 As 1.76
F  0.5699  0.3143  0.2500  1 As 1.76
F  0.9232  0.9924  0.7500  1 As 1.75
F  0.5768  0.4924  0.7500  1 As 1.75
F  0.0768  0.0076  0.2500  1 As 1.75
F  0.4232  0.5076  0.2500  1 As 1.75
F  0.8274  0.0800  0.5527  1 As 1.83, 1 Mg 2.01
F  0.6726  0.5800  0.9473  1 As 1.83, 1 Mg 2.01
F  0.1726  0.9200  0.0527  1 As 1.83, 1 Mg 2.01
F  0.3274  0.4200  0.4473  1 As 1.83, 1 Mg 2.01
F  0.1726  0.9200  0.4473  1 As 1.83, 1 Mg 2.01
F  0.3274  0.4200  0.0527  1 As 1.83, 1 Mg 2.01
F  0.8274  0.0800  0.9473  1 As 1.83, 1 Mg 2.01
F  0.6726  0.5800  0.5527  1 As 1.83, 1 Mg 2.01
F  0.7951  0.2887  0.4645  1 As 1.74
F  0.7049  0.7887  0.0355  1 As 1.74
F  0.2049  0.7113  0.9645  1 As 1.74
F  0.2951  0.2113  0.5355  1 As 1.74
F  0.2049  0.7113  0.5355  1 As 1.74
F  0.2951  0.2113  0.9645  1 As 1.74
F  0.7951  0.2887  0.0355  1 As 1.74
F  0.7049  0.7887  0.4645  1 As 1.74
F  0.6099  0.1256  0.4574  1 As 1.75
F  0.8901  0.6256  0.0426  1 As 1.75
F  0.3901  0.8744  0.9574  1 As 1.75
F  0.1099  0.3744  0.5426  1 As 1.75
F  0.3901  0.8744  0.5426  1 As 1.75
F  0.1099  0.3744  0.9574  1 As 1.75
F  0.6099  0.1256  0.0426  1 As 1.75
F  0.8901  0.6256  0.4574  1 As 1.75
F  0.5668  0.3306  0.5470  1 As 1.82, 1 Mg 2.01
F  0.9332  0.8306  0.9530  1 As 1.82, 1 Mg 2.01
F  0.4332  0.6694  0.0470  1 As 1.82, 1 Mg 2.01
F  0.0668  0.1694  0.4530  1 As 1.82, 1 Mg 2.01
F  0.4332  0.6694  0.4530  1 As 1.82, 1 Mg 2.01
F  0.0668  0.1694  0.0470  1 As 1.82, 1 Mg 2.01
F  0.5668  0.3306  0.9530  1 As 1.82, 1 Mg 2.01
F  0.9332  0.8306  0.5470  1 As 1.82, 1 Mg 2.01
F  0.6005  0.1230  0.6322  1 As 1.75
F  0.8995  0.6230  0.8678  1 As 1.75
F  0.3995  0.8770  0.1322  1 As 1.75
F  0.1005  0.3770  0.3678  1 As 1.75
F  0.3995  0.8770  0.3678  1 As 1.75
F  0.1005  0.3770  0.1322  1 As 1.75
F  0.6005  0.1230  0.8678  1 As 1.75
F  0.8995  0.6230  0.6322  1 As 1.75
F  0.7849  0.2857  0.6390  1 As 1.76
F  0.7151  0.7857  0.8610  1 As 1.76
F  0.2151  0.7143  0.1390  1 As 1.76
F  0.2849  0.2143  0.3610  1 As 1.76
F  0.2151  0.7143  0.3610  1 As 1.76
F  0.2849  0.2143  0.1390  1 As 1.76
F  0.7849  0.2857  0.8610  1 As 1.76
F  0.7151  0.7857  0.6390  1 As 1.76


No. 5
The following is a DFT calculation (PBE) of KAsNF2 after structural relaxation.

ρ = 2.5 Mg/m³
formation energy from raw total energies = 195 kJ/mol of formula units
SG = P4/mmm
DOS at the Fermi energy = 0.57 states/eV per atom
energy above the most stable polymorph in this dataset = 1.5191 eV/atom
raw total energy = -3.16 eV per atom
magnetic moment = 1.026 μB/cell

Lattice parameters (Å, degrees): 4.7209 4.7209 5.0220 90.00 90.00 90.00
Last column: nearest neighbours and their distance in Å.
Fractional positions:
As  0.5000  0.5000  0.5000  4 N 3.34, 8 F 3.45
N  0.0000  0.0000  0.5000  2 K 2.51
K  0.0000  0.0000  0.0000  4 F 2.36, 2 N 2.51
F  0.0000  0.5000  0.0000  2 K 2.36
F  0.5000  0.0000  0.0000  2 K 2.36


No. 6
The following is a DFT calculation (PBE) of KAsNF2 after structural relaxation.

ρ = 3.7 Mg/m³
formation energy from raw total energies = -538 kJ/mol of formula units
SG = P4/mmm
DOS at the Fermi energy = 0.12 states/eV per atom
energy above the most stable polymorph in this dataset = 0.0000 eV/atom
raw total energy = -4.68 eV per atom
magnetic moment = 0.000 μB/cell

Lattice parameters (Å, degrees): 4.5243 4.5243 3.6575 90.00 90.00 90.00
Last column: nearest neighbours and their distance in Å.
Fractional positions:
As  0.0000  0.0000  0.0000  2 N 1.83
N  0.0000  0.0000  0.5000  2 As 1.83
K  0.5000  0.5000  0.5000  8 F 2.91, 4 N 3.20
F  0.0000  0.5000  0.0000  2 As 2.26
F  0.5000  0.0000  0.0000  2 As 2.26


Question: Which of these has the highest ρ?
Answer: number 6